CaAg2, single point on PBEsol structure, DFT SCAN; calculated formation energy = -0.3003 eV/atom; SG = No. 74; total energy = -293.19 eV for the cell shown
1.0
4.592 0.000 0.000
0.000 7.106 0.000
0.000 0.000 8.122
Ca Ag
4 8
direct
0.000 0.250 0.046
0.000 0.750 0.954
0.500 0.250 0.454
0.500 0.750 0.546
0.000 0.050 0.661
0.000 0.450 0.661
0.000 0.550 0.339
0.000 0.950 0.339
0.500 0.050 0.839
0.500 0.450 0.839
0.500 0.550 0.161
0.500 0.950 0.161